1.
LuBiAs (PBE, optimized geometry); raw total energy = -56.054 eV/cell
1.0
6.950 0.000 0.000
0.000 6.950 0.000
0.000 0.000 6.950
Lu Bi As
4 4 4
direct
0.000 0.000 0.000
0.000 0.500 0.500
0.500 0.000 0.500
0.500 0.500 0.000
0.000 0.000 0.500
0.000 0.500 0.000
0.500 0.000 0.000
0.500 0.500 0.500
0.250 0.250 0.750
0.250 0.750 0.250
0.750 0.250 0.250
0.750 0.750 0.750

2.
LuBi2As (PBE, optimized geometry); raw total energy = -70.988 eV/cell
1.0
7.551 0.000 0.000
0.000 7.551 0.000
0.000 0.000 7.551
Lu Bi As
4 8 4
direct
0.000 0.000 0.000
0.000 0.500 0.500
0.500 0.000 0.500
0.500 0.500 0.000
0.000 0.000 0.500
0.000 0.500 0.000
0.250 0.250 0.250
0.250 0.750 0.750
0.500 0.000 0.000
0.500 0.500 0.500
0.750 0.250 0.750
0.750 0.750 0.250
0.250 0.250 0.750
0.250 0.750 0.250
0.750 0.250 0.250
0.750 0.750 0.750

3.
Lu4BiAsN2 (PBE, optimized geometry); raw total energy = -53.459 eV/cell
1.0
3.558 0.000 0.000
-1.779 3.082 0.000
0.000 0.000 13.733
Lu Bi As N
4 1 1 2
direct
0.000 0.000 0.138
0.000 0.000 0.862
0.333 0.667 0.322
0.333 0.667 0.678
0.000 0.000 0.500
0.333 0.667 0.000
0.667 0.333 0.237
0.667 0.333 0.763

4.
Lu4BiAsN2 (PBE, optimized geometry); raw total energy = -53.459 eV/cell
1.0
3.558 0.000 0.000
-1.779 3.081 0.000
0.000 0.000 13.733
Lu Bi As N
4 1 1 2
direct
0.000 0.000 0.138
0.000 0.000 0.862
0.667 0.333 0.322
0.667 0.333 0.678
0.000 0.000 0.500
0.667 0.333 0.000
0.333 0.667 0.237
0.333 0.667 0.763

5.
BiMo4AsN2 (PBE, optimized geometry); raw total energy = -68.454 eV/cell
1.0
3.343 0.000 0.000
-1.671 2.895 0.000
0.000 0.000 12.484
Bi Mo As N
1 4 1 2
direct
0.000 0.000 0.000
0.000 0.000 0.363
0.000 0.000 0.637
0.333 0.667 0.203
0.333 0.667 0.797
0.333 0.667 0.500
0.667 0.333 0.249
0.667 0.333 0.751

6.
BiMo4AsN2 (PBE, optimized geometry); raw total energy = -68.453 eV/cell
1.0
3.343 0.000 0.000
-1.671 2.895 0.000
0.000 0.000 12.484
Bi Mo As N
1 4 1 2
direct
0.000 0.000 0.000
0.000 0.000 0.363
0.000 0.000 0.637
0.667 0.333 0.203
0.667 0.333 0.797
0.667 0.333 0.500
0.333 0.667 0.249
0.333 0.667 0.751